# RbBeNi3, optimized geometry, DFT PBE-GGA
data_RbBeNi3
_chemical_formula_sum 'Rb1 Be1 Ni3'
_cell_length_a 4.2699
_cell_length_b 4.2699
_cell_length_c 4.2699
_cell_angle_alpha 90.00
_cell_angle_beta 90.00
_cell_angle_gamma 90.00
_space_group_name_H-M_alt 'P 1'
_space_group_IT_number 1
_space_group_name_Hall 'P 1'
loop_
_atom_site_label
_atom_site_type_symbol
_atom_site_fract_x
_atom_site_fract_y
_atom_site_fract_z
Rb1 Rb 0.5000 0.5000 0.5000
Be1 Be 0.0000 0.0000 0.0000
Ni1 Ni 0.5000 0.0000 0.0000
Ni2 Ni 0.0000 0.0000 0.5000
Ni3 Ni 0.0000 0.5000 0.0000
# Energy above the lowest structure with this stoichiometry ... 0 meV/atom
# Calculated total energy ... -18.42 eV for the cell shown
# Size of the total moment ... 0.09 μB per formula unit
# Calculated volume ... 15.6 A^3/atom
# Symmetry ... No. 221

# RbBeNi2, optimized geometry, DFT PBE-GGA
data_RbBeNi2
_chemical_formula_sum 'Rb2 Be2 Ni4'
_cell_length_a 4.8309
_cell_length_b 4.8309
_cell_length_c 8.0899
_cell_angle_alpha 72.63
_cell_angle_beta 72.63
_cell_angle_gamma 90.00
_space_group_name_H-M_alt 'P 1'
_space_group_IT_number 1
_space_group_name_Hall 'P 1'
loop_
_atom_site_label
_atom_site_type_symbol
_atom_site_fract_x
_atom_site_fract_y
_atom_site_fract_z
Rb1 Rb 0.0000 0.0000 0.0000
Rb2 Rb 0.7500 0.2500 0.5000
Ni1 Ni 0.3750 0.6249 0.7500
Ni2 Ni 0.3749 0.6250 0.2500
Ni3 Ni 0.8750 0.6251 0.7500
Ni4 Ni 0.3751 0.1250 0.2500
Be1 Be 0.2500 0.7500 0.5000
Be2 Be 0.5000 0.5000 0.0000
# Calculated total energy ... -27.31 eV for the cell shown
# Size of the total moment ... 0.77 μB per formula unit
# Calculated volume ... 21.4 A^3/atom
# Symmetry ... No. 141

# RbBe2ReNi, optimized geometry, DFT PBE-GGA
data_RbBe2ReNi
_chemical_formula_sum 'Rb1 Be2 Re1 Ni1'
_cell_length_a 4.4310
_cell_length_b 4.7641
_cell_length_c 4.4310
_cell_angle_alpha 90.00
_cell_angle_beta 90.00
_cell_angle_gamma 90.00
_space_group_name_H-M_alt 'P 1'
_space_group_IT_number 1
_space_group_name_Hall 'P 1'
loop_
_atom_site_label
_atom_site_type_symbol
_atom_site_fract_x
_atom_site_fract_y
_atom_site_fract_z
Rb1 Rb 0.0000 0.0000 0.0000
Re1 Re 0.0000 0.5000 0.0000
Be1 Be 0.5000 0.0000 0.0000
Be2 Be 0.0000 0.0000 0.5000
Ni1 Ni 0.5000 0.5000 0.5000
# Calculated total energy ... -9.68 eV for the cell shown
# Size of the total moment ... 1.04 μB per formula unit
# Calculated volume ... 18.7 A^3/atom
# Symmetry ... No. 123